(1)
YZrBr: optimized geometry, GGA-PBE.

a = 6.726 Å, b = 6.726 Å, c = 6.726 Å
α = 90.00°, β = 90.00°, γ = 90.00°
Space group F-43m (No. 216)
Symmetry-distinct sites (fractional):
Y  0.000  0.000  0.000 x4
Zr  0.000  0.000  0.500 x4
Br  0.250  0.250  0.750 x4

Computed properties:
For the energy above the most stable polymorph in this dataset, the calculation gives 755.5 meV/atom. The formation energy from raw total energies is 0.09 eV per atom. The value obtained for the density of states at the Fermi level is 0.28 states/eV/atom.

(2)
Nd6DyTm4: optimized geometry, GGA-PBE.

a = 6.732 Å, b = 6.732 Å, c = 16.705 Å
α = 90.00°, β = 90.00°, γ = 90.00°
Space group I-42m (No. 121)
Symmetry-distinct sites (fractional):
Nd  0.000  0.500  0.000 x4
Nd  0.191  0.191  0.177 x8
Dy  0.000  0.000  0.000 x2
Tm  0.177  0.177  0.381 x8

Computed properties:
The value obtained for the density of states at the Fermi level is 1.51 states/eV/atom. As for the formation energy: 0.304 eV/atom.